Record 1
9
Lattice="9.118 -2.391 0.000 9.118 2.391 0.000 -3.104 0.000 7.852" Properties=species:S:1:pos:R:3 comment="Ba3Sc2Sb4 (GGA-PBE, optimized geometry)" e_form_raw_ev_per_atom=-0.94 space_group=C2/m crystal_system=monoclinic pbc="T T T"
Ba 0.000 0.000 0.000
Ba 0.586 0.000 4.307
Ba 14.547 0.000 3.544
Sc 5.878 0.000 0.144
Sc 9.254 0.000 7.708
Sb 3.332 0.000 1.567
Sb 7.829 0.000 2.147
Sb 7.304 0.000 5.705
Sb 11.800 0.000 6.285



Record 2
4
Lattice="3.868 0.000 0.000 0.000 3.868 0.000 0.000 0.000 8.190" Properties=species:S:1:pos:R:3 comment="BaSc2Sb (GGA-PBE, optimized geometry)" e_form_raw_ev_per_atom=-0.23 space_group=P4/mmm crystal_system=tetragonal pbc="T T T"
Ba 0.000 0.000 0.000
Sc 1.934 1.934 2.662
Sc 1.934 1.934 5.528
Sb 0.000 0.000 4.095



Record 3
4
Lattice="3.544 0.000 0.000 0.000 4.092 0.000 -1.233 0.000 8.326" Properties=species:S:1:pos:R:3 comment="BaScSb2 (GGA-PBE, optimized geometry)" e_form_raw_ev_per_atom=-0.75 space_group=P2/m polymorph_energy_ev_per_atom=0.090 crystal_system=monoclinic pbc="T T T"
Ba 0.000 0.000 0.000
Sc -0.616 0.000 4.163
Sb 0.655 2.046 5.916
Sb 1.657 2.046 2.410



Record 4
5
Lattice="5.557 0.000 0.000 0.000 5.557 0.000 0.000 0.000 5.557" Properties=species:S:1:pos:R:3 comment="BaScSb3 (GGA-PBE, optimized geometry)" e_form_raw_ev_per_atom=-0.54 space_group=Pm-3m polymorph_energy_ev_per_atom=0.000 crystal_system=cubic pbc="T T T"
Ba 0.000 0.000 0.000
Sc 2.779 2.779 2.779
Sb 0.000 2.779 2.779
Sb 2.779 0.000 2.779
Sb 2.779 2.779 0.000



Record 5
6
Lattice="0.000 5.119 5.119 5.119 0.000 5.119 5.119 5.119 0.000" Properties=species:S:1:pos:R:3 comment="Ba4ScSb (GGA-PBE, optimized geometry)" e_form_raw_ev_per_atom=0.37 space_group=F-43m crystal_system=cubic pbc="T T T"
Ba 1.272 1.272 1.272
Ba 3.847 3.847 1.272
Ba 3.847 1.272 3.847
Ba 1.272 3.847 3.847
Sc 5.119 5.119 5.119
Sb 7.679 7.679 7.679



Record 6
28
Lattice="9.837 0.000 0.000 0.000 8.712 0.000 -2.225 0.000 13.658" Properties=species:S:1:pos:R:3 comment="Ba3ScSb3 (GGA-PBE, optimized geometry)" e_form_raw_ev_per_atom=-1.03 space_group=P2_1/c crystal_system=monoclinic pbc="T T T"
Ba 0.756 2.073 1.123
Ba -0.356 2.283 7.952
Ba 1.608 6.443 3.035
Ba 0.495 6.625 9.864
Ba 2.005 1.554 12.031
Ba 3.118 2.802 5.202
Ba 4.494 5.910 8.456
Ba 5.606 7.158 1.627
Ba 7.117 2.087 3.794
Ba 6.004 2.269 10.623
Ba 7.968 6.429 5.706
Ba 6.856 6.639 12.535
Sc 1.046 5.057 13.136
Sc 2.159 8.011 6.307
Sc 5.453 0.701 7.351
Sc 6.566 3.655 0.522
Sb 0.287 0.647 4.667
Sb -0.826 3.709 11.496
Sb 1.326 5.329 6.727
Sb 0.213 7.739 13.556
Sb 2.876 0.666 8.718
Sb 3.989 3.690 1.889
Sb 3.623 5.022 11.769
Sb 4.736 8.047 4.940
Sb 7.398 0.973 0.102
Sb 6.286 3.383 6.931
Sb 8.438 5.003 2.161
Sb 7.325 8.065 8.990